# LiCaGd

A relaxed LiCaGd crystal (PBE-GGA, Alexandria).

Lattice parameters (Å, degrees): 3.7607 3.7607 7.1198 105.31 105.31 90.00
Last column: nearest neighbours and their distance in Å.
Fractional coordinates of all 3 atoms:
Ca (0.0153, 0.0153, 0.0307)  4 Li 3.35, 4 Gd 3.75
Li (0.6697, 0.6697, 0.3394)  4 Gd 3.28, 4 Ca 3.35
Gd (0.3150, 0.3150, 0.6299)  4 Li 3.28

## Properties
Offset from the most stable computed form (meV/atom): 0
ΔE_f (eV/f.u.): 0.33
Raw total energy (eV/atom): -5.89